Computed, not measured: a relaxed InCl2 crystal at the PBE level of DFT.

## Properties
- ΔE_f (raw) (meV/atom) = -660

Unit cell a=4.4378 b=6.2065 c=13.1244 alpha=90.00 beta=90.00 gamma=90.00
With the nearest neighbours (Å) after each atom.
Space group Fmmm (No. 69)
One atom of each set of equivalent atoms:
In 0.0000 0.0000 0.0000 [4 per cell]  4 Cl 2.73
Cl 0.0000 0.0000 0.3786 [8 per cell]  2 In 2.73

Computed, not measured: a relaxed In3Cl crystal at the PBE level of DFT.

## Properties
- offset from the most stable computed form (eV/atom) = 0.0000
- ΔE_f (raw) (meV/atom) = -289

Unit cell a=7.9282 b=7.9385 c=3.3833 alpha=90.00 beta=90.00 gamma=90.00
With the nearest neighbours (Å) after each atom.
Space group Cmmm (No. 65)
One atom of each set of equivalent atoms:
In 0.0000 0.0000 0.0000 [2 per cell]  10 In 3.28-3.38
In 0.2500 0.2500 0.5000 [4 per cell]  6 In 3.28-3.38, 4 Cl 3.28
Cl 0.0000 0.5000 0.0000 [2 per cell]  8 In 3.28, 2 Cl 3.38

Computed, not measured: a relaxed InCl crystal at the PBE level of DFT.

## Properties
- ΔE_f (raw) (meV/atom) = -795

Unit cell a=4.2045 b=14.9775 c=6.3808 alpha=90.00 beta=90.00 gamma=90.00
With the nearest neighbours (Å) after each atom.
Space group Imm2 (No. 44)
One atom of each set of equivalent atoms:
In 0.0000 0.0000 0.0000 [2 per cell]  4 Cl 2.89-3.12
In 0.0000 0.1562 0.5435 [4 per cell]  3 Cl 2.96-2.98
Cl 0.0000 0.2045 0.0934 [4 per cell]  4 In 2.96-3.12
Cl 0.0000 0.5000 0.8106 [2 per cell]  2 In 2.89

Computed, not measured: a relaxed In3Cl crystal at the PBE level of DFT.

## Properties
- offset from the most stable computed form (eV/atom) = 0.1208
- ΔE_f (raw) (meV/atom) = -168

Unit cell a=7.5617 b=7.5617 c=7.5617 alpha=90.00 beta=90.00 gamma=90.00
With the nearest neighbours (Å) after each atom.
Space group Fm-3m (No. 225)
One atom of each set of equivalent atoms:
In 0.0000 0.0000 0.0000 [4 per cell]  8 In 3.27
In 0.2500 0.2500 0.2500 [8 per cell]  4 Cl 3.27, 4 In 3.27
Cl 0.0000 0.0000 0.5000 [4 per cell]  8 In 3.27

Computed, not measured: a relaxed InCl3 crystal at the PBE level of DFT.

## Properties
- ΔE_f (raw) (meV/atom) = -101

Unit cell a=4.4962 b=4.4962 c=4.4962 alpha=90.00 beta=90.00 gamma=90.00
With the nearest neighbours (Å) after each atom.
Space group Pm-3m (No. 221)
One atom of each set of equivalent atoms:
In 0.0000 0.0000 0.0000 [1 per cell]  12 Cl 3.18
Cl 0.0000 0.5000 0.5000 [3 per cell]  8 Cl 3.18, 4 In 3.18

Computed, not measured: a relaxed InCl3 crystal at the PBE level of DFT.

## Properties
- ΔE_f (raw) (meV/atom) = -434

Unit cell a=4.3770 b=4.3889 c=6.4495 alpha=90.00 beta=90.00 gamma=90.00
With the nearest neighbours (Å) after each atom.
Space group Pmm2 (No. 25)
One atom of each set of equivalent atoms:
In 0.0000 0.0000 0.0000 [1 per cell]  4 Cl 2.55-2.56
Cl 0.0000 0.5000 0.7976 [1 per cell]  2 In 2.55
Cl 0.5000 0.0000 0.7951 [1 per cell]  2 In 2.56
Cl 0.5000 0.5000 0.2287 [1 per cell]  4 In 3.43, 4 Cl 3.54-3.55

Computed, not measured: a relaxed InCl4 crystal at the PBE level of DFT.

## Properties
- ΔE_f (raw) (meV/atom) = -419

Unit cell a=5.1187 b=5.1187 c=5.1187 alpha=90.00 beta=90.00 gamma=90.00
With the nearest neighbours (Å) after each atom.
Space group Pm-3m (No. 221)
One atom of each set of equivalent atoms:
In 0.0000 0.0000 0.0000 [1 per cell]  6 Cl 2.56
Cl 0.0000 0.0000 0.5000 [3 per cell]  2 In 2.56
Cl 0.5000 0.5000 0.5000 [1 per cell]  12 Cl 3.62

Computed, not measured: a relaxed In2Cl crystal at the PBE level of DFT.

## Properties
- offset from the most stable computed form (eV/atom) = 0.1249
- ΔE_f (raw) (meV/atom) = -294

Unit cell a=5.6043 b=5.6043 c=6.3852 alpha=90.00 beta=90.00 gamma=120.00
With the nearest neighbours (Å) after each atom.
Space group P6_3/mmc (No. 194)
One atom of each set of equivalent atoms:
In 0.0000 0.0000 0.0000 [2 per cell]  2 In 3.19
In 0.3333 0.6667 0.2500 [2 per cell]  5 Cl 3.19-3.24
Cl 0.3333 0.6667 0.7500 [2 per cell]  5 In 3.19-3.24

Computed, not measured: a relaxed In3Cl crystal at the PBE level of DFT.

## Properties
- offset from the most stable computed form (eV/atom) = 0.0623
- ΔE_f (raw) (meV/atom) = -227

Unit cell a=4.5105 b=4.5105 c=11.1764 alpha=90.00 beta=90.00 gamma=90.00
With the nearest neighbours (Å) after each atom.
Space group I4/mmm (No. 139)
One atom of each set of equivalent atoms:
In 0.0000 0.0000 0.0000 [2 per cell]  4 Cl 3.19
In 0.0000 0.5000 0.2500 [4 per cell]  4 In 3.19
Cl 0.0000 0.0000 0.5000 [2 per cell]  4 In 3.19

Computed, not measured: a relaxed InCl3 crystal at the PBE level of DFT.

## Properties
- ΔE_f (raw) (meV/atom) = -347

Unit cell a=3.9978 b=3.9978 c=28.6488 alpha=90.00 beta=90.00 gamma=120.00
With the nearest neighbours (Å) after each atom.
Space group R-3m (No. 166, hexagonal axes)
One atom of each set of equivalent atoms:
In 0.0000 0.0000 0.0000 [3 per cell]  6 Cl 2.73
Cl 0.0000 0.0000 0.3845 [6 per cell]  3 In 2.73
Cl 0.0000 0.0000 0.5000 [3 per cell]  2 Cl 3.31

Computed, not measured: a relaxed InCl crystal at the PBE level of DFT.

## Properties
- ΔE_f (raw) (meV/atom) = -793

Unit cell a=12.0576 b=4.3398 c=8.1523 alpha=90.00 beta=115.94 gamma=90.00
With the nearest neighbours (Å) after each atom.
Space group Cm (No. 8)
One atom of each set of equivalent atoms:
In 0.0000 0.0000 0.0000 [2 per cell]  3 Cl 2.88-3.07
In 0.1264 0.0000 0.6647 [2 per cell]  3 Cl 2.83-2.97
In 0.3227 0.5000 0.3646 [2 per cell]  4 Cl 3.05-3.21, 1 In 3.40
Cl 0.0483 0.5000 0.2896 [2 per cell]  3 In 3.07-3.09
Cl 0.2453 0.5000 0.9340 [2 per cell]  4 In 2.88-3.21
Cl 0.3545 0.0000 0.6446 [2 per cell]  3 In 2.83-3.05

Computed, not measured: a relaxed In2IrCl crystal at the PBE level of DFT.

## Properties
- offset from the most stable computed form (eV/atom) = 0.5554
- ΔE_f (raw) (meV/atom) = 276

Unit cell a=3.8882 b=3.8882 c=12.0878 alpha=90.00 beta=90.00 gamma=90.00
With the nearest neighbours (Å) after each atom.
Space group I-4m2 (No. 119)
One atom of each set of equivalent atoms:
In 0.0000 0.0000 0.0000 [2 per cell]  4 Cl 2.75
In 0.0000 0.5000 0.2500 [2 per cell]  4 Ir 2.75
Ir 0.0000 0.5000 0.7500 [2 per cell]  4 In 2.75
Cl 0.0000 0.0000 0.5000 [2 per cell]  4 In 2.75

Computed, not measured: a relaxed InIrCl2 crystal at the PBE level of DFT.

## Properties
- offset from the most stable computed form (eV/atom) = 0.1705
- ΔE_f (raw) (meV/atom) = -125

Unit cell a=4.2626 b=3.4086 c=7.4946 alpha=90.00 beta=106.13 gamma=90.00
With the nearest neighbours (Å) after each atom.
Space group Pm (No. 6)
One atom of each set of equivalent atoms:
In 0.0000 0.0000 0.0000 [1 per cell]  4 Ir 2.74-2.75, 2 Cl 3.07
Ir 0.4798 0.5000 0.9585 [1 per cell]  3 Cl 2.32-2.56
Cl 0.3504 0.0000 0.6938 [1 per cell]  2 Ir 2.56
Cl 0.6385 0.5000 0.2814 [1 per cell]  1 Ir 2.32

Computed, not measured: a relaxed InIrCl2 crystal at the PBE level of DFT.

## Properties
- offset from the most stable computed form (eV/atom) = 0.8245
- ΔE_f (raw) (meV/atom) = 529

Unit cell a=4.3009 b=4.3009 c=8.2750 alpha=90.00 beta=90.00 gamma=90.00
With the nearest neighbours (Å) after each atom.
Space group I-4m2 (No. 119)
One atom of each set of equivalent atoms:
In 0.0000 0.0000 0.0000 [2 per cell]  8 Cl 2.98-3.04, 4 Ir 2.98
Ir 0.0000 0.5000 0.7500 [2 per cell]  4 In 2.98, 8 Cl 2.98-3.04
Cl 0.0000 0.0000 0.5000 [2 per cell]  4 Ir 2.98, 4 Cl 2.98, 4 In 3.04
Cl 0.0000 0.5000 0.2500 [2 per cell]  4 Cl 2.98, 4 In 2.98, 4 Ir 3.04

Computed, not measured: a relaxed InIrCl2 crystal at the PBE level of DFT.

## Properties
- offset from the most stable computed form (eV/atom) = 0.2911
- ΔE_f (raw) (meV/atom) = -4

Unit cell a=3.2262 b=8.0011 c=8.9840 alpha=90.00 beta=90.00 gamma=90.00
With the nearest neighbours (Å) after each atom.
Space group Imm2 (No. 44)
One atom of each set of equivalent atoms:
In 0.0000 0.0000 0.0000 [2 per cell]  2 Cl 2.54, 2 Ir 2.67
Ir 0.0000 0.5000 0.2638 [2 per cell]  2 Cl 2.27
Cl 0.0000 0.0000 0.5858 [2 per cell]  2 Ir 2.27
Cl 0.0000 0.5000 0.7191 [2 per cell]  2 In 2.54

| no. | magnetic moment (μB/cell) |
| --- | --- |
| 1 | 0.00 |
| 2 | 0.00 |
| 3 | 0.00 |
| 4 | 0.00 |
| 5 | 0.99 |
| 6 | 0.00 |
| 7 | 1.06 |
| 8 | 0.00 |
| 9 | 0.00 |
| 10 | 2.32 |
| 11 | 0.00 |
| 12 | 0.00 |
| 13 | 0.87 |
| 14 | 0.03 |
| 15 | 0.00 |